No. 1
Entry from the Open Quantum Materials Database: an optimized crystal structure of Cd2Si2AsP3 (GGA-PBE).

## Properties
Electronic total energy: -4.372 eV/atom
Volume: 356 Å³/cell

CIF file:
```
data_Cd2Si2AsP3
_chemical_formula_sum 'Cd4 Si4 As2 P6'
_cell_length_a 12.079
_cell_length_b 5.761
_cell_length_c 5.793
_cell_angle_alpha 90.00
_cell_angle_beta 118.10
_cell_angle_gamma 90.00
_space_group_name_H-M_alt 'C 1 2 1'
_space_group_IT_number 5
loop_
_space_group_symop_operation_xyz
'x,y,z'
'-x,y,-z'
'x+1/2,y+1/2,z'
'-x+1/2,y+1/2,-z'
loop_
_atom_site_label
_atom_site_type_symbol
_atom_site_fract_x
_atom_site_fract_y
_atom_site_fract_z
Cd1 Cd 0.128 0.000 0.371
Si1 Si 0.128 0.486 0.885
As1 As 0.000 0.700 0.500
P1 P 0.000 0.286 0.000
P2 P 0.250 0.241 0.796
```

---

No. 2
Entry from the Open Quantum Materials Database: an optimized crystal structure of Cd2Sn2As3P (GGA-PBE).

## Properties
Electronic total energy: -3.775 eV/atom
Volume: 453 Å³/cell

CIF file:
```
data_Cd2Sn2As3P
_chemical_formula_sum 'Cd4 Sn4 As6 P2'
_cell_length_a 13.461
_cell_length_b 6.150
_cell_length_c 6.135
_cell_angle_alpha 90.00
_cell_angle_beta 116.77
_cell_angle_gamma 90.00
_space_group_name_H-M_alt 'C 1 2 1'
_space_group_IT_number 5
loop_
_space_group_symop_operation_xyz
'x,y,z'
'-x,y,-z'
'x+1/2,y+1/2,z'
'-x+1/2,y+1/2,-z'
loop_
_atom_site_label
_atom_site_type_symbol
_atom_site_fract_x
_atom_site_fract_y
_atom_site_fract_z
Cd1 Cd 0.121 0.000 0.363
Sn1 Sn 0.124 0.487 0.879
As1 As 0.000 0.737 0.500
As2 As 0.250 0.241 0.751
P1 P 0.000 0.250 0.000
```

---

No. 3
Entry from the Open Quantum Materials Database: an optimized crystal structure of Cd2Sn2AsP3 (GGA-PBE).

## Properties
Electronic total energy: -3.944 eV/atom
Volume: 427 Å³/cell

CIF file:
```
data_Cd2Sn2AsP3
_chemical_formula_sum 'Cd4 Sn4 As2 P6'
_cell_length_a 13.209
_cell_length_b 6.014
_cell_length_c 6.026
_cell_angle_alpha 90.00
_cell_angle_beta 116.95
_cell_angle_gamma 90.00
_space_group_name_H-M_alt 'C 1 2 1'
_space_group_IT_number 5
loop_
_space_group_symop_operation_xyz
'x,y,z'
'-x,y,-z'
'x+1/2,y+1/2,z'
'-x+1/2,y+1/2,-z'
loop_
_atom_site_label
_atom_site_type_symbol
_atom_site_fract_x
_atom_site_fract_y
_atom_site_fract_z
Cd1 Cd 0.128 0.000 0.371
Sn1 Sn 0.127 0.513 0.882
As1 As 0.000 0.260 0.500
P1 P 0.000 0.753 0.000
P2 P 0.250 0.259 0.242
```

---

No. 4
Entry from the Open Quantum Materials Database: an optimized crystal structure of Cd2Tc2AsP3 (GGA-PBE).

## Properties
Electronic total energy: -5.347 eV/atom
Volume: 367 Å³/cell

CIF file:
```
data_Cd2Tc2AsP3
_chemical_formula_sum 'Cd4 Tc4 As2 P6'
_cell_length_a 12.150
_cell_length_b 5.877
_cell_length_c 5.747
_cell_angle_alpha 90.00
_cell_angle_beta 116.69
_cell_angle_gamma 90.00
_space_group_name_H-M_alt 'C 1 2 1'
_space_group_IT_number 5
loop_
_space_group_symop_operation_xyz
'x,y,z'
'-x,y,-z'
'x+1/2,y+1/2,z'
'-x+1/2,y+1/2,-z'
loop_
_atom_site_label
_atom_site_type_symbol
_atom_site_fract_x
_atom_site_fract_y
_atom_site_fract_z
Cd1 Cd 0.131 0.000 0.368
Tc1 Tc 0.129 0.521 0.882
As1 As 0.000 0.311 0.500
P1 P 0.000 0.709 0.000
P2 P 0.250 0.274 0.193
```

---

No. 5
Entry from the Open Quantum Materials Database: an optimized crystal structure of Tm2CdAsP (GGA-PBE).

## Properties
Electronic total energy: -4.819 eV/atom
Volume: 446 Å³/cell

CIF file:
```
data_Tm2CdAsP
_chemical_formula_sum 'Tm8 Cd4 As4 P4'
_cell_length_a 3.938
_cell_length_b 17.729
_cell_length_c 6.388
_cell_angle_alpha 90.00
_cell_angle_beta 90.00
_cell_angle_gamma 90.00
_space_group_name_H-M_alt 'C m c 21'
_space_group_IT_number 36
loop_
_space_group_symop_operation_xyz
'x,y,z'
'-x,-y,z+1/2'
'-x,y,z'
'x,-y,z+1/2'
'x+1/2,y+1/2,z'
'-x+1/2,-y+1/2,z+1/2'
'-x+1/2,y+1/2,z'
'x+1/2,-y+1/2,z+1/2'
loop_
_atom_site_label
_atom_site_type_symbol
_atom_site_fract_x
_atom_site_fract_y
_atom_site_fract_z
Tm1 Tm 0.000 0.024 0.000
Tm2 Tm 0.000 0.202 0.687
Cd1 Cd 0.000 0.388 0.799
As1 As 0.000 0.417 0.214
P1 P 0.000 0.190 0.125
```

---

No. 6
Entry from the Open Quantum Materials Database: an optimized crystal structure of Cd2As3PW2 (GGA-PBE).

## Properties
Electronic total energy: -5.502 eV/atom
Volume: 405 Å³/cell

CIF file:
```
data_Cd2As3PW2
_chemical_formula_sum 'Cd4 As6 P2 W4'
_cell_length_a 12.685
_cell_length_b 5.981
_cell_length_c 5.984
_cell_angle_alpha 90.00
_cell_angle_beta 116.93
_cell_angle_gamma 90.00
_space_group_name_H-M_alt 'C 1 2 1'
_space_group_IT_number 5
loop_
_space_group_symop_operation_xyz
'x,y,z'
'-x,y,-z'
'x+1/2,y+1/2,z'
'-x+1/2,y+1/2,-z'
loop_
_atom_site_label
_atom_site_type_symbol
_atom_site_fract_x
_atom_site_fract_y
_atom_site_fract_z
Cd1 Cd 0.120 0.000 0.360
As1 As 0.000 0.697 0.500
As2 As 0.250 0.233 0.790
P1 P 0.000 0.285 0.000
W1 W 0.121 0.483 0.876
```

---

electronic total energy of number 1 (Cd2Si2AsP3)?
-4.372 eV/atom